The following is a PBE calculation of an optimized crystal structure of Tb5Pm6Sc, from Alexandria via LeMat-Bulk.

Lattice parameters (Å, degrees): 5.080 10.077 15.225 90.00 90.00 90.00
Space group Immm (No. 71)
Inequivalent atoms, fractional coordinates:
Tb (0.000, 0.000, 0.000) x2
Tb (0.000, 0.000, 0.335) x4
Tb (0.000, 0.500, 0.334) x4
Pm (0.000, 0.246, 0.500) x4
Pm (0.000, 0.252, 0.166) x8
Sc (0.000, 0.500, 0.000) x2

Summary:
The calculation puts the formation energy at 0.02 eV per atom. For the total energy, the calculation gives -4.8080 eV/atom. As for the density: 7.285 g/cm3.

***

The following is a PBE calculation of an optimized crystal structure of TiMnP2Cl, from Alexandria via LeMat-Bulk.

Lattice parameters (Å, degrees): 4.759 4.759 4.691 90.00 90.00 90.00
Space group P4/mmm (No. 123)
Inequivalent atoms, fractional coordinates:
Ti (0.000, 0.000, 0.000) x1
Mn (0.500, 0.500, 0.500) x1
P (0.000, 0.500, 0.000) x2
Cl (0.000, 0.000, 0.500) x1

Summary:
For the total energy, the calculation gives -5.8487 eV/atom. The value obtained for the energy relative to the elements, uncorrected is 97 meV per atom. As for the density: 3.129 g/cm3. The offset from the most stable computed form comes out at 0.000 eV per atom.

***

The following is a PBE calculation of an optimized crystal structure of BaNi, from Alexandria via LeMat-Bulk.

Lattice parameters (Å, degrees): 4.328 19.568 4.526 90.00 90.00 90.00
Space group Cmmm (No. 65)
Inequivalent atoms, fractional coordinates:
Ba (0.000, 0.000, 0.000) x2
Ba (0.000, 0.339, 0.500) x4
Ni (0.000, 0.230, 0.000) x4
Ni (0.000, 0.500, 0.500) x2

Summary:
The calculation puts the formation energy at 0.11 eV per atom. For the total energy, the calculation gives -3.7420 eV/atom. As for the density: 5.096 g/cm3.

***

The following is a PBE calculation of an optimized crystal structure of EuSbPd, from Alexandria via LeMat-Bulk.

Lattice parameters (Å, degrees): 7.618 4.726 8.009 90.00 90.00 90.00
Space group Pnma (No. 62)
Inequivalent atoms, fractional coordinates:
Eu (0.007, 0.250, 0.202) x4
Sb (0.195, 0.250, 0.592) x4
Pd (0.188, 0.750, 0.419) x4

Summary:
For the total energy, the calculation gives -7.4930 eV/atom. The value obtained for the energy relative to the elements, uncorrected is -963 meV per atom. As for the density: 8.756 g/cm3.

***

The following is a PBE calculation of an optimized crystal structure of MnSbSeBr2, from Alexandria via LeMat-Bulk.

Lattice parameters (Å, degrees): 5.645 5.645 5.394 90.00 90.00 90.00
Space group P4/mmm (No. 123)
Inequivalent atoms, fractional coordinates:
Mn (0.000, 0.000, 0.000) x1
Sb (0.500, 0.500, 0.500) x1
Se (0.500, 0.500, 0.000) x1
Br (0.000, 0.500, 0.500) x2

Summary:
For the total energy, the calculation gives -3.7499 eV/atom. The value obtained for the energy relative to the elements, uncorrected is 275 meV per atom. As for the density: 4.014 g/cm3. The offset from the most stable computed form comes out at 0.000 eV per atom.

***

The following is a PBE calculation of an optimized crystal structure of AlSiAs2, from Alexandria via LeMat-Bulk.

Lattice parameters (Å, degrees): 11.326 3.011 4.585 90.00 113.74 90.00
Space group Cm (No. 8)
Inequivalent atoms, fractional coordinates:
Al (0.000, 0.000, 0.000) x2
Si (0.214, 0.500, 0.212) x2
As (0.268, 0.000, 0.767) x2
As (0.459, 0.000, 0.459) x2

Summary:
For the total energy, the calculation gives -4.3072 eV/atom. The value obtained for the energy relative to the elements, uncorrected is 309 meV per atom. As for the density: 4.755 g/cm3. The offset from the most stable computed form comes out at 0.357 eV per atom.

***

The following is a PBE calculation of an optimized crystal structure of La2Ga4Cu3Ru, from Alexandria via LeMat-Bulk.

Lattice parameters (Å, degrees): 4.242 4.242 10.416 90.00 90.00 90.00
Space group P-4m2 (No. 115)
Inequivalent atoms, fractional coordinates:
La (0.000, 0.500, 0.248) x2
Ga (0.000, 0.000, 0.500) x1
Ga (0.000, 0.500, 0.872) x2
Ga (0.500, 0.500, 0.500) x1
Cu (0.000, 0.000, 0.000) x1
Cu (0.000, 0.500, 0.632) x2
Ru (0.500, 0.500, 0.000) x1

Summary:
The calculation puts the formation energy at -0.44 eV per atom. For the total energy, the calculation gives -4.7964 eV/atom. As for the density: 7.516 g/cm3.

***

The following is a PBE calculation of an optimized crystal structure of Nd4Y10Tm, from Alexandria via LeMat-Bulk.

Lattice parameters (Å, degrees): 11.404 11.404 7.903 90.00 90.00 90.00
Space group I4/mmm (No. 139)
Inequivalent atoms, fractional coordinates:
Nd (0.229, 0.229, 0.000) x8
Y (0.000, 0.209, 0.290) x16
Y (0.000, 0.500, 0.250) x4
Tm (0.000, 0.000, 0.000) x2

Summary:
The calculation puts the formation energy at 0.27 eV per atom. For the total energy, the calculation gives -5.6102 eV/atom. As for the density: 5.283 g/cm3.